[1]
EuZr2C: relaxed, PBE.

Unit cell a=9.320 b=9.320 c=9.320 alpha=20.79 beta=20.79 gamma=20.79
Fractional positions:
Eu: 0.000 0.000 0.000
Zr: 0.121 0.121 0.121
Zr: 0.879 0.879 0.879
C: 0.500 0.500 0.500

Calculated values
The density of states at the Fermi level is 2.96 states/eV per cell. The value obtained for the theoretical density is 6.44 Mg/m³. As for the energy relative to the elements: -253 meV per atom. As for the crystal system: trigonal.

***

[2]
PrSm3Y7: relaxed, PBE.

Unit cell a=6.978 b=5.588 c=10.116 alpha=90.00 beta=109.69 gamma=90.00
Fractional positions:
Pr: 0.000 0.000 0.000
Sm: 0.281 0.500 0.498
Sm: 0.500 0.000 0.000
Sm: 0.719 0.500 0.502
Y: 0.000 0.000 0.500
Y: 0.146 0.500 0.787
Y: 0.320 0.500 0.138
Y: 0.420 0.000 0.330
Y: 0.580 0.000 0.670
Y: 0.680 0.500 0.862
Y: 0.854 0.500 0.213

Calculated values
The density of states at the Fermi level is 18.32 states/eV per cell. The value obtained for the theoretical density is 5.43 Mg/m³. As for the energy relative to the elements: 140 meV per atom. The polymorph energy (0 for the lowest one) is 0 meV per atom. As for the crystal system: monoclinic.

***

[3]
AlSiI2O: relaxed, PBE.

Unit cell a=5.849 b=5.849 c=3.560 alpha=90.00 beta=90.00 gamma=90.00
Fractional positions:
Al: 0.000 0.000 0.000
Si: 0.500 0.500 0.500
I: 0.000 0.500 0.500
I: 0.500 0.000 0.500
O: 0.500 0.500 0.000

Calculated values
The density of states at the Fermi level is 1.10 states/eV per cell. The value obtained for the theoretical density is 4.43 Mg/m³. The formation energy (no corrections) comes out at -30.8 kJ/mol of atoms. The polymorph energy (0 for the lowest one) is 105 meV per atom. As for the crystal system: tetragonal.

***

[4]
TaBeRh: relaxed, PBE.

Unit cell a=5.708 b=5.708 c=6.098 alpha=90.00 beta=90.00 gamma=125.29
Fractional positions:
Ta: 0.185 0.815 0.922
Ta: 0.315 0.685 0.422
Ta: 0.685 0.315 0.578
Ta: 0.815 0.185 0.078
Be: 0.092 0.908 0.559
Be: 0.408 0.592 0.059
Be: 0.592 0.408 0.941
Be: 0.908 0.092 0.441
Rh: 0.187 0.313 0.750
Rh: 0.313 0.187 0.250
Rh: 0.687 0.813 0.750
Rh: 0.813 0.687 0.250

Calculated values
The density of states at the Fermi level is 4.74 states/eV per cell. The value obtained for the theoretical density is 11.99 Mg/m³. As for the energy relative to the elements: -383 meV per atom. The polymorph energy (0 for the lowest one) is 139 meV per atom. As for the crystal system: orthorhombic.